Here is Al2O3 after structural relaxation from Alexandria via LeMat-Bulk. Energies are from PBE.

```
20
Lattice="5.382 0.000 0.000 0.000 8.398 0.000 -2.586 0.000 4.823" Properties=species:S:1:pos:R:3 pbc="T T T"
Al -0.432 1.309 1.158
Al -1.725 2.890 3.569
Al 0.514 0.360 3.532
Al 1.807 3.839 1.120
Al 0.989 4.559 3.702
Al 2.282 8.038 1.291
Al 4.521 5.509 1.253
Al 3.228 7.089 3.665
O -0.593 1.715 2.894
O 0.700 2.485 0.482
O -0.791 4.349 3.996
O 0.502 8.248 1.585
O 0.729 5.110 1.903
O -0.564 7.488 4.314
O 3.361 0.910 0.508
O 2.067 3.289 2.920
O 2.294 0.150 3.238
O 3.588 4.049 0.826
O 2.096 5.914 4.341
O 3.389 6.684 1.929
```

Results
* raw total energy: -7.40 eV per atom
* D(E_F): 0.00 states/eV/atom
* formation energy (no corrections): -283 kJ/mol of atoms